Entry from Alexandria: a relaxed structure of La2AlOs (GGA-PBEsol).

Output
* D(E_F): 6.5 states/eV/cell
* theoretical density: 7.6 g/cm³
* energy: -6.96 eV per atom
* energy of formation from the pure elements: -214 meV per atom
* M_tot: 0.0 Bohr magnetons per cell

Lattice parameters (Å, degrees): 8.2633 3.9566 7.0740 90.00 109.77 90.00
Sites, in units of the cell vectors:
La: 0.0000 0.0000 0.0000
La: 0.1634 0.0000 0.5630
La: 0.5000 0.5000 0.0000
La: 0.6634 0.5000 0.5630
Al: 0.2768 0.5000 0.2826
Al: 0.7768 0.0000 0.2826
Os: 0.4676 0.0000 0.2780
Os: 0.9676 0.5000 0.2780